Material: MgSiRu2
Method: DFT, PBE-GGA
State: optimized geometry

Cell: 4.8601 4.8601 4.3640 Å, 72.43 72.43 34.81°
Fractional coordinates of all 4 atoms:
Mg (0.2553, 0.2553, 0.1951)
Ru (0.0087, 0.0087, 0.0525)
Ru (0.7498, 0.7498, 0.6868)
Si (0.4862, 0.4862, 0.5655)

## Properties
Space-group type   Cm
E   -26.51 eV/cell
DOS(E_F)   2.0 states/eV/cell
Formation energy without anion corrections   -0.94 eV per formula unit
Magnetic moment   0.00 μB/cell